1.
# TaCu2P PBE optimized geometry
data_TaCu2P
_chemical_formula_sum 'Ta1 Cu2 P1'
_symmetry_space_group_name_H-M 'P 1'
_symmetry_Int_Tables_number 1
_cell_length_a 5.160
_cell_length_b 5.160
_cell_length_c 5.160
_cell_angle_alpha 140.05
_cell_angle_beta 140.05
_cell_angle_gamma 57.78
loop_
_symmetry_equiv_pos_as_xyz
'x,y,z'
loop_
_atom_site_label
_atom_site_fract_x
_atom_site_fract_y
_atom_site_fract_z
_atom_site_occupancy
Ta1 0.000 0.000 0.000 1
Cu1 0.250 0.750 0.500 1
Cu2 0.750 0.250 0.500 1
P1 0.500 0.500 0.000 1
# Volume ... 14.0 Å³ per atom
# DOS at the Fermi energy ... 0.716 states/eV per atom
# E ... -6.3869 eV/atom
# Calculated density ... 10.023 g cm⁻³



2.
# LiNi5Ge4 PBE optimized geometry
data_LiNi5Ge4
_chemical_formula_sum 'Li2 Ni10 Ge8'
_symmetry_space_group_name_H-M 'P 1'
_symmetry_Int_Tables_number 1
_cell_length_a 7.387
_cell_length_b 7.942
_cell_length_c 4.768
_cell_angle_alpha 90.00
_cell_angle_beta 90.00
_cell_angle_gamma 90.00
loop_
_symmetry_equiv_pos_as_xyz
'x,y,z'
loop_
_atom_site_label
_atom_site_fract_x
_atom_site_fract_y
_atom_site_fract_z
_atom_site_occupancy
Li1 0.250 0.250 0.005 1
Li2 0.750 0.750 0.995 1
Ni1 0.050 0.519 0.751 1
Ni2 0.050 0.981 0.751 1
Ni3 0.250 0.750 0.564 1
Ni4 0.450 0.519 0.751 1
Ni5 0.450 0.981 0.751 1
Ni6 0.550 0.019 0.249 1
Ni7 0.550 0.481 0.249 1
Ni8 0.750 0.250 0.436 1
Ni9 0.950 0.019 0.249 1
Ni10 0.950 0.481 0.249 1
Ge1 0.068 0.250 0.522 1
Ge2 0.250 0.581 0.134 1
Ge3 0.250 0.919 0.134 1
Ge4 0.432 0.250 0.522 1
Ge5 0.568 0.750 0.478 1
Ge6 0.750 0.081 0.866 1
Ge7 0.750 0.419 0.866 1
Ge8 0.932 0.750 0.478 1
# Volume ... 14.0 Å³ per atom
# DOS at the Fermi energy ... 0.622 states/eV per atom
# E ... -5.0939 eV/atom
# Calculated density ... 7.016 g cm⁻³



3.
# PuZr2Be PBE optimized geometry
data_PuZr2Be
_chemical_formula_sum 'Pu1 Zr2 Be1'
_symmetry_space_group_name_H-M 'P 1'
_symmetry_Int_Tables_number 1
_cell_length_a 3.177
_cell_length_b 3.177
_cell_length_c 7.887
_cell_angle_alpha 90.00
_cell_angle_beta 90.00
_cell_angle_gamma 90.00
loop_
_symmetry_equiv_pos_as_xyz
'x,y,z'
loop_
_atom_site_label
_atom_site_fract_x
_atom_site_fract_y
_atom_site_fract_z
_atom_site_occupancy
Pu1 0.000 0.000 0.000 1
Zr1 0.500 0.500 0.296 1
Zr2 0.500 0.500 0.704 1
Be1 0.000 0.000 0.500 1
# Volume ... 19.9 Å³ per atom
# Distance to the lowest polymorph of the same formula ... 0 meV per atom
# DOS at the Fermi energy ... 1.247 states/eV per atom
# E ... -8.7480 eV/atom
# Calculated density ... 9.084 g cm⁻³